DFT (GGA-PBEsol) results for an optimized crystal structure of Er3Ge4.

Output
- E (eV/cell) = -161.7
- DFT formation energy (meV/atom) = -840

Cell and atoms, written as CIF:
```
data_Er3Ge4
_chemical_formula_sum 'Er12 Ge16'
_cell_length_a 3.959
_cell_length_b 10.471
_cell_length_c 13.991
_cell_angle_alpha 90.00
_cell_angle_beta 90.00
_cell_angle_gamma 90.00
_space_group_name_H-M_alt 'C m c m'
_space_group_IT_number 63
_space_group_name_Hall '-C 2c 2'
loop_
_atom_site_label
_atom_site_fract_x
_atom_site_fract_y
_atom_site_fract_z
Er1 0.000 0.045 0.250
Er2 0.000 0.330 0.097
Ge1 0.000 0.000 0.000
Ge2 0.000 0.226 0.750
Ge3 0.000 0.381 0.608
```